DFT (PBE) results for crystalline TlZnCu at its relaxed geometry.

Summary:
Space-group type = P3m1
Energy = -2.3237 eV per atom
E above lowest polymorph = 52 meV/atom
Crystal system = trigonal
ΔE_f = 0.255 eV per atom

```
TlZnCu
1.0
3.2060 0.0000 0.0000
-1.6030 2.7764 0.0000
0.0000 0.0000 6.4748
Zn Cu Tl
1 1 1
direct
0.3333 0.6667 0.7056
0.0000 0.0000 0.9736
0.6667 0.3333 0.3209
```

DFT (PBE) results for crystalline PPbBr at its relaxed geometry.

Summary:
Space-group type = Immm
ΔE_f (raw) = -50 kJ/mol of formula units
Energy = -3.7696 eV per atom
E above lowest polymorph = 0 meV/atom
Crystal system = orthorhombic

```
PPbBr
1.0
4.4462 0.0000 0.0000
0.0000 4.5584 0.0000
-2.2231 -2.2792 9.5140
Br Pb P
2 2 2
direct
0.3264 0.8264 0.6527
0.6736 0.1736 0.3473
0.8640 0.3640 0.7280
0.1360 0.6360 0.2720
0.2591 0.5000 0.0000
0.7409 0.5000 0.0000
```

DFT (PBE) results for crystalline Na2Ag2Cl7 at its relaxed geometry.

Summary:
Space-group type = C2/m
ΔE_f (raw) = -813 kJ/mol of formula units
Energy = -2.6996 eV per atom
Crystal system = monoclinic

```
Na2Ag2Cl7
1.0
-3.8500 -5.7627 0.5301
5.9803 -3.8201 -1.0884
-1.1888 1.7018 6.8726
Cl Na Ag
7 2 2
direct
0.7593 0.0477 0.4357
0.0000 0.0000 0.0000
0.7450 0.5595 0.5595
0.2550 0.4405 0.4405
0.2407 0.5643 0.9523
0.7593 0.4357 0.0477
0.2407 0.9523 0.5643
0.5000 0.3037 0.6963
0.5000 0.6963 0.3037
0.8202 0.2612 0.2612
0.1798 0.7388 0.7388
```

DFT (PBE) results for crystalline HoScCdOs at its relaxed geometry.

Summary:
Space-group type = F-43m
Energy = -6.0173 eV per atom
E above lowest polymorph = 124 meV/atom
Crystal system = cubic
ΔE_f = -0.254 eV per atom

```
HoScCdOs
1.0
-1.2556 -1.9883 -4.2643
3.4398 -1.6773 -3.0114
0.5025 -4.7938 -0.6933
Os Sc Ho Cd
1 1 1 1
direct
0.7500 0.7500 0.7500
0.5000 0.5000 0.5000
0.0000 0.0000 0.0000
0.2500 0.2500 0.2500
```

DFT (PBE) results for crystalline Tb8CeTm2 at its relaxed geometry.

Summary:
Space-group type = C2/m
Energy = -4.5472 eV per atom
E above lowest polymorph = 135 meV/atom
Crystal system = monoclinic
ΔE_f = 0.173 eV per atom

```
Tb8CeTm2
1.0
5.4896 -0.6495 -0.4537
0.8812 9.7737 2.6187
0.8812 5.8223 8.2755
Tb Ce Tm
8 1 2
direct
0.7333 0.8671 0.3999
0.7333 0.3999 0.8671
0.2383 0.5460 0.5460
0.7617 0.4540 0.4540
0.2331 0.1882 0.1882
0.7669 0.8118 0.8118
0.2667 0.1329 0.6001
0.2667 0.6001 0.1329
0.0000 0.0000 0.0000
0.7492 0.2843 0.2843
0.2508 0.7157 0.7157
```

DFT (PBE) results for crystalline NaIrRu at its relaxed geometry.

Summary:
Space-group type = P-6m2
Energy = -5.8487 eV per atom
E above lowest polymorph = 303 meV/atom
Crystal system = hexagonal
ΔE_f = 0.637 eV per atom

```
NaIrRu
1.0
-0.0832 1.5579 4.2951
-1.1370 -4.3377 -0.8796
2.5100 -0.7208 0.3101
Ru Ir Na
1 1 1
direct
0.0000 0.0000 0.0000
0.3333 0.6667 0.0000
0.6667 0.3333 0.5000
```

DFT (PBE) results for crystalline RbNaIrS2 at its relaxed geometry.

Summary:
Space-group type = P4/mmm
ΔE_f (raw) = -107 kJ/mol of formula units
Energy = -4.1028 eV per atom
Crystal system = tetragonal

```
RbNaIrS2
1.0
-1.2041 -0.2173 -4.6125
-2.9035 -4.2948 0.9603
-3.7969 2.7594 0.8611
Ir S Na Rb
1 2 1 1
direct
0.0000 0.0000 0.0000
0.5000 0.0000 0.0000
0.0000 0.0000 0.5000
0.0000 0.5000 0.0000
0.5000 0.5000 0.5000
```

DFT (PBE) results for crystalline CrFe2Ru at its relaxed geometry.

Summary:
Space-group type = Pmm2
Energy = -8.8254 eV per atom
Crystal system = orthorhombic
ΔE_f = 0.131 eV per atom

```
CrFe2Ru
1.0
2.5916 0.0000 0.0000
0.0000 3.5927 0.0000
0.0000 0.0000 5.1886
Cr Fe Ru
1 2 1
direct
0.5000 0.5000 0.7618
0.5000 0.5000 0.2389
0.0000 0.0000 0.0017
0.0000 0.0000 0.4976
```